VASP calculation (meta-GGA SCAN) on a PBEsol-optimized structure of LaOs2W.

Cell lengths 2.8241, 2.8241, 30.0418 Å; angles 90.00, 90.00, 120.00 degrees
Closest atoms and distances in Å follow each position.
Atoms (fractional coordinates):
La1 0.0000 0.0000 0.0000  6 La 2.82
La2 0.3333 0.6667 0.6667  6 La 2.82
La3 0.6667 0.3333 0.3333  6 La 2.82
Os1 0.0000 0.0000 0.4962  9 Os 2.66-2.82, 3 W 2.74
Os2 0.0000 0.0000 0.7598  9 Os 2.66-2.82
Os3 0.3333 0.6667 0.1629  9 Os 2.66-2.82, 3 W 2.74
Os4 0.3333 0.6667 0.4264  9 Os 2.66-2.82
Os5 0.6667 0.3333 0.0931  9 Os 2.66-2.82
Os6 0.6667 0.3333 0.8295  9 Os 2.66-2.82, 3 W 2.74
W1 0.0000 0.0000 0.2360  3 Os 2.74, 6 W 2.82
W2 0.3333 0.6667 0.9027  3 Os 2.74, 6 W 2.82
W3 0.6667 0.3333 0.5693  3 Os 2.74, 6 W 2.82

Output
E above lowest polymorph: 0.0129 eV/atom
DFT formation energy: 278 kJ/mol of formula units
Total magnetization: 0.00 μB per formula unit
Fermi-level density of states: 4.50 states/eV/f.u.

***

VASP calculation (meta-GGA SCAN) on a PBEsol-optimized structure of TbCo12B6.

Cell lengths 5.8787, 5.8787, 5.8787 Å; angles 104.03, 104.03, 104.03 degrees
Closest atoms and distances in Å follow each position.
Atoms (fractional coordinates):
Tb1 0.0000 0.0000 0.0000  6 B 2.99, 18 Co 3.04-3.18
Co1 0.1322 0.5000 0.8678  4 B 1.99-2.01
Co2 0.1322 0.8678 0.5000  4 B 1.99-2.01
Co3 0.1860 0.4556 0.4556  3 B 2.07-2.08
Co4 0.4556 0.1860 0.4556  3 B 2.07-2.08
Co5 0.4556 0.4556 0.1860  3 B 2.07-2.08
Co6 0.5000 0.1322 0.8678  4 B 1.99-2.01
Co7 0.5000 0.8678 0.1322  4 B 1.99-2.01
Co8 0.5444 0.5444 0.8140  3 B 2.07-2.08
Co9 0.5444 0.8140 0.5444  3 B 2.07-2.08
Co10 0.8140 0.5444 0.5444  3 B 2.07-2.08
Co11 0.8678 0.1322 0.5000  4 B 1.99-2.01
Co12 0.8678 0.5000 0.1322  4 B 1.99-2.01
B1 0.2331 0.2331 0.6788  7 Co 1.99-2.08
B2 0.2331 0.6788 0.2331  7 Co 1.99-2.08
B3 0.3212 0.7669 0.7669  7 Co 1.99-2.08
B4 0.6788 0.2331 0.2331  7 Co 1.99-2.08
B5 0.7669 0.3212 0.7669  7 Co 1.99-2.08
B6 0.7669 0.7669 0.3212  7 Co 1.99-2.08

Output
DFT formation energy: -484 kJ/mol of formula units
Total magnetization: 8.77 μB per formula unit
Fermi-level density of states: 12.04 states/eV/f.u.

***

VASP calculation (meta-GGA SCAN) on a PBEsol-optimized structure of ScTa4Si.

Cell lengths 5.4194, 5.4194, 5.4194 Å; angles 60.00, 60.00, 60.00 degrees
Closest atoms and distances in Å follow each position.
Atoms (fractional coordinates):
Sc1 0.0000 0.0000 0.0000  12 Ta 3.17, 4 Si 3.32
Ta1 0.3737 0.3737 0.3737  6 Ta 2.68-2.74
Ta2 0.3737 0.3737 0.8790  6 Ta 2.68-2.74
Ta3 0.3737 0.8790 0.3737  6 Ta 2.68-2.74
Ta4 0.8790 0.3737 0.3737  6 Ta 2.68-2.74
Si1 0.7500 0.7500 0.7500  12 Ta 3.18, 4 Sc 3.32

Output
Formation energy from raw total energies: 0.37 eV/atom
Total magnetization: 0.00 μB per formula unit
Fermi-level density of states: 5.69 states/eV/f.u.

***

VASP calculation (meta-GGA SCAN) on a PBEsol-optimized structure of HgOsPb2.

Cell lengths 3.2456, 5.3950, 10.4002 Å; angles 90.00, 90.00, 90.00 degrees
Closest atoms and distances in Å follow each position.
Atoms (fractional coordinates):
Hg1 0.0000 0.0000 0.0000  2 Os 2.76
Hg2 0.5000 0.5000 0.0000  2 Os 2.76
Os1 0.0000 0.5000 0.2146  2 Pb 2.74, 2 Hg 2.76
Os2 0.5000 0.0000 0.2146  2 Pb 2.74, 2 Hg 2.76
Pb1 0.0000 0.0000 0.4268  2 Os 2.74
Pb2 0.0000 0.5000 0.7453  2 Hg 3.11, 6 Pb 3.15-3.25
Pb3 0.5000 0.0000 0.7453  2 Hg 3.11, 6 Pb 3.15-3.25
Pb4 0.5000 0.5000 0.4268  2 Os 2.74

Output
DFT formation energy: 297 kJ/mol of formula units
Total magnetization: 0.00 μB per formula unit
Fermi-level density of states: 2.15 states/eV/f.u.

***

VASP calculation (meta-GGA SCAN) on a PBEsol-optimized structure of Li2Ca.

Cell lengths 5.1204, 5.1204, 3.7310 Å; angles 90.00, 90.00, 120.00 degrees
Closest atoms and distances in Å follow each position.
Atoms (fractional coordinates):
Li1 0.3333 0.6667 0.0000  3 Li 2.96
Li2 0.6667 0.3333 0.0000  3 Li 2.96
Ca1 0.0000 0.0000 0.5000  12 Li 3.50, 2 Ca 3.73

Output
E above lowest polymorph: 0.0699 eV/atom
DFT formation energy: 15 kJ/mol of formula units
Total magnetization: 0.26 μB per formula unit
Fermi-level density of states: 1.89 states/eV/f.u.

***

VASP calculation (meta-GGA SCAN) on a PBEsol-optimized structure of SrIrNF2.

Cell lengths 4.4859, 4.4859, 3.7444 Å; angles 90.00, 90.00, 90.00 degrees
Closest atoms and distances in Å follow each position.
Atoms (fractional coordinates):
Sr1 0.0000 0.0000 0.0000  8 F 2.92, 4 N 3.17
Ir1 0.5000 0.5000 0.5000  2 N 1.87
N1 0.5000 0.5000 0.0000  2 Ir 1.87
F1 0.0000 0.5000 0.5000  2 Ir 2.24
F2 0.5000 0.0000 0.5000  2 Ir 2.24

Output
Formation energy from raw total energies: -1.32 eV/atom
Total magnetization: 0.00 μB per formula unit
Fermi-level density of states: 1.43 states/eV/f.u.

***

VASP calculation (meta-GGA SCAN) on a PBEsol-optimized structure of Ba2Li2Te.

Cell lengths 4.1667, 4.1667, 20.7534 Å; angles 90.00, 90.00, 90.00 degrees
Closest atoms and distances in Å follow each position.
Atoms (fractional coordinates):
Ba1 0.0000 0.0000 0.0960  4 Te 3.56, 4 Li 3.81
Ba2 0.0000 0.0000 0.9040  4 Te 3.56, 4 Li 3.81
Ba3 0.5000 0.5000 0.4040  4 Te 3.56, 4 Li 3.81
Ba4 0.5000 0.5000 0.5960  4 Te 3.56, 4 Li 3.81
Li1 0.0000 0.5000 0.2500  4 Li 2.95
Li2 0.0000 0.5000 0.7500  4 Li 2.95
Li3 0.5000 0.0000 0.2500  4 Li 2.95
Li4 0.5000 0.0000 0.7500  4 Li 2.95
Te1 0.0000 0.0000 0.5000  8 Ba 3.56
Te2 0.5000 0.5000 0.0000  8 Ba 3.56

Output
Formation energy from raw total energies: -0.66 eV/atom
Total magnetization: 0.06 μB per formula unit
Fermi-level density of states: 2.87 states/eV/f.u.

***

VASP calculation (meta-GGA SCAN) on a PBEsol-optimized structure of K2TaNi.

Cell lengths 7.0487, 7.0487, 7.0487 Å; angles 90.00, 90.00, 90.00 degrees
Closest atoms and distances in Å follow each position.
Atoms (fractional coordinates):
K1 0.0000 0.0000 0.0000  4 Ni 3.05, 4 K 3.05
K2 0.0000 0.5000 0.5000  4 K 3.05, 4 Ni 3.05
K3 0.2500 0.2500 0.2500  4 Ta 3.05, 4 K 3.05
K4 0.2500 0.7500 0.7500  4 Ta 3.05, 4 K 3.05
K5 0.5000 0.0000 0.5000  4 K 3.05, 4 Ni 3.05
K6 0.5000 0.5000 0.0000  4 Ni 3.05, 4 K 3.05
K7 0.7500 0.2500 0.7500  4 Ta 3.05, 4 K 3.05
K8 0.7500 0.7500 0.2500  4 Ta 3.05, 4 K 3.05
Ta1 0.0000 0.0000 0.5000  4 K 3.05, 4 Ni 3.05
Ta2 0.0000 0.5000 0.0000  4 K 3.05, 4 Ni 3.05
Ta3 0.5000 0.0000 0.0000  4 K 3.05, 4 Ni 3.05
Ta4 0.5000 0.5000 0.5000  4 K 3.05, 4 Ni 3.05
Ni1 0.2500 0.2500 0.7500  4 Ta 3.05, 4 K 3.05
Ni2 0.2500 0.7500 0.2500  4 Ta 3.05, 4 K 3.05
Ni3 0.7500 0.2500 0.2500  4 Ta 3.05, 4 K 3.05
Ni4 0.7500 0.7500 0.7500  4 Ta 3.05, 4 K 3.05

Output
E above lowest polymorph: 1.0885 eV/atom
DFT formation energy: 648 kJ/mol of formula units
Total magnetization: 1.06 μB per formula unit
Fermi-level density of states: 3.83 states/eV/f.u.

***

VASP calculation (meta-GGA SCAN) on a PBEsol-optimized structure of CsP2Ru2.

Cell lengths 4.0097, 4.0097, 13.6393 Å; angles 90.00, 90.00, 90.00 degrees
Closest atoms and distances in Å follow each position.
Atoms (fractional coordinates):
Cs1 0.0000 0.0000 0.0000  8 P 3.65, 8 Ru 3.96, 4 Cs 4.01
Cs2 0.5000 0.5000 0.5000  8 P 3.65, 8 Ru 3.96, 4 Cs 4.01
P1 0.0000 0.0000 0.3313  4 Ru 2.29
P2 0.0000 0.0000 0.6687  4 Ru 2.29
P3 0.5000 0.5000 0.1687  4 Ru 2.29
P4 0.5000 0.5000 0.8313  4 Ru 2.29
Ru1 0.0000 0.5000 0.2500  4 P 2.29
Ru2 0.0000 0.5000 0.7500  4 P 2.29
Ru3 0.5000 0.0000 0.2500  4 P 2.29
Ru4 0.5000 0.0000 0.7500  4 P 2.29

Output
DFT formation energy: -349 kJ/mol of formula units
Total magnetization: 0.00 μB per formula unit
Fermi-level density of states: 2.33 states/eV/f.u.

***

VASP calculation (meta-GGA SCAN) on a PBEsol-optimized structure of ZnCoIr2.

Cell lengths 8.7502, 2.6952, 4.4589 Å; angles 90.00, 100.27, 90.00 degrees
Closest atoms and distances in Å follow each position.
Atoms (fractional coordinates):
Zn1 0.0000 0.0000 0.0000  3 Co 2.57-2.64, 7 Ir 2.57-2.71, 2 Zn 2.70
Zn2 0.5000 0.5000 0.0000  3 Co 2.57-2.64, 7 Ir 2.57-2.71, 2 Zn 2.70
Co1 0.2527 0.5000 0.2344  3 Zn 2.57-2.64, 7 Ir 2.59-2.70, 2 Co 2.70
Co2 0.7527 0.0000 0.2344  3 Zn 2.57-2.64, 7 Ir 2.59-2.70, 2 Co 2.70
Ir1 0.2435 0.0000 0.7281  4 Co 2.59-2.62, 5 Ir 2.61-2.70, 3 Zn 2.63-2.71
Ir2 0.4955 0.0000 0.4895  4 Zn 2.57-2.64, 3 Co 2.60-2.70, 5 Ir 2.61-2.70
Ir3 0.7435 0.5000 0.7281  4 Co 2.59-2.62, 5 Ir 2.61-2.70, 3 Zn 2.63-2.71
Ir4 0.9955 0.5000 0.4895  4 Zn 2.57-2.64, 3 Co 2.60-2.70, 5 Ir 2.61-2.70

Output
DFT formation energy: -6 kJ/mol of formula units
Total magnetization: 1.46 μB per formula unit
Fermi-level density of states: 3.01 states/eV/f.u.

***

VASP calculation (meta-GGA SCAN) on a PBEsol-optimized structure of Ba3Mg.

Cell lengths 8.8042, 8.8243, 4.8173 Å; angles 90.00, 90.00, 90.00 degrees
Closest atoms and distances in Å follow each position.
Atoms (fractional coordinates):
Ba1 0.0000 0.0000 0.0000  8 Ba 3.94, 2 Mg 4.40
Ba2 0.2500 0.2500 0.5000  6 Ba 3.94-4.40, 4 Mg 3.94
Ba3 0.2500 0.7500 0.5000  6 Ba 3.94-4.40, 4 Mg 3.94
Ba4 0.5000 0.5000 0.0000  8 Ba 3.94, 2 Mg 4.40
Ba5 0.7500 0.2500 0.5000  6 Ba 3.94-4.40, 4 Mg 3.94
Ba6 0.7500 0.7500 0.5000  6 Ba 3.94-4.40, 4 Mg 3.94
Mg1 0.0000 0.5000 0.0000  10 Ba 3.94-4.40
Mg2 0.5000 0.0000 0.0000  10 Ba 3.94-4.40

Output
E above lowest polymorph: 0.0651 eV/atom
DFT formation energy: 22 kJ/mol of formula units
Total magnetization: 0.09 μB per formula unit
Fermi-level density of states: 4.29 states/eV/f.u.

***

VASP calculation (meta-GGA SCAN) on a PBEsol-optimized structure of TlRhO2F.

Cell lengths 3.8179, 3.8179, 4.6477 Å; angles 90.00, 90.00, 90.00 degrees
Closest atoms and distances in Å follow each position.
Atoms (fractional coordinates):
Tl1 0.0000 0.0000 0.0000  4 F 2.70, 8 O 3.01
Rh1 0.5000 0.5000 0.5000  4 O 1.91
O1 0.0000 0.5000 0.5000  2 Rh 1.91
O2 0.5000 0.0000 0.5000  2 Rh 1.91
F1 0.5000 0.5000 0.0000  2 Rh 2.32

Output
Formation energy from raw total energies: -0.92 eV/atom
Total magnetization: 2.62 μB per formula unit
Fermi-level density of states: 2.34 states/eV/f.u.

***

VASP calculation (meta-GGA SCAN) on a PBEsol-optimized structure of NbTc2AuF.

Cell lengths 4.0245, 4.0245, 4.6180 Å; angles 90.00, 90.00, 90.00 degrees
Closest atoms and distances in Å follow each position.
Atoms (fractional coordinates):
Nb1 0.0000 0.0000 0.0000  4 Au 2.85, 8 Tc 3.06
Tc1 0.0000 0.5000 0.5000  2 F 2.01
Tc2 0.5000 0.0000 0.5000  2 F 2.01
Au1 0.5000 0.5000 0.0000  2 F 2.31
F1 0.5000 0.5000 0.5000  4 Tc 2.01

Output
Formation energy from raw total energies: 0.51 eV/atom
Total magnetization: 1.47 μB per formula unit
Fermi-level density of states: 2.85 states/eV/f.u.